A plane-wave DFT calculation with GGA-PBE was carried out for a relaxed structure of LiCaLa2Ni.

Cell and atoms, written as CIF:
```
data_LiCaLa2Ni
_symmetry_space_group_name_H-M 'P 4/m m m'
_symmetry_Int_Tables_number 123
_symmetry_space_group_name_Hall '-P 4 2'
_cell_length_a 5.438
_cell_length_b 5.438
_cell_length_c 5.330
_cell_angle_alpha 90.00
_cell_angle_beta 90.00
_cell_angle_gamma 90.00
loop_
_atom_site_label
_atom_site_fract_x
_atom_site_fract_y
_atom_site_fract_z
Li1 0.000 0.000 0.000
Ca1 0.500 0.500 0.000
La1 0.000 0.500 0.500
Ni1 0.000 0.000 0.500
```

Summary:
Its crystal system is tetragonal. For the formation energy, the calculation gives 0.04 eV per formula unit. Its relative energy among the computed polymorphs is 42 meV per atom.

A plane-wave DFT calculation with GGA-PBE was carried out for a relaxed structure of RbMnSbSe3.

Cell and atoms, written as CIF:
```
data_RbMnSbSe3
_symmetry_space_group_name_H-M 'P 1 21/m 1'
_symmetry_Int_Tables_number 11
_cell_length_a 9.630
_cell_length_b 4.256
_cell_length_c 10.081
_cell_angle_alpha 90.00
_cell_angle_beta 106.35
_cell_angle_gamma 90.00
loop_
_symmetry_equiv_pos_as_xyz
'x,y,z'
'-x,-y,-z'
'-x,y+1/2,-z'
'x,-y+1/2,z'
loop_
_atom_site_label
_atom_site_fract_x
_atom_site_fract_y
_atom_site_fract_z
Rb1 0.188 0.250 0.229
Mn1 0.092 0.250 0.607
Sb1 0.343 0.750 0.867
Se1 0.139 0.250 0.866
Se2 0.185 0.750 0.515
Se3 0.443 0.750 0.141
```

Summary:
Its crystal system is monoclinic. For the formation energy from raw total energies, the calculation gives -607 meV/atom.

A plane-wave DFT calculation with GGA-PBE was carried out for a relaxed structure of Ce2GaNi6.

Cell and atoms, written as CIF:
```
data_Ce2GaNi6
_symmetry_space_group_name_H-M 'P -6 2 m'
_symmetry_Int_Tables_number 189
_symmetry_space_group_name_Hall 'P -6 -2'
_cell_length_a 7.3294
_cell_length_b 7.3294
_cell_length_c 2.8623
_cell_angle_alpha 90.00
_cell_angle_beta 90.00
_cell_angle_gamma 120.00
loop_
_atom_site_label
_atom_site_fract_x
_atom_site_fract_y
_atom_site_fract_z
Ce1 0.3333 0.6667 0.0000
Ga1 0.0000 0.0000 0.5000
Ni1 0.0000 0.2803 0.0000
Ni2 0.0000 0.6641 0.5000
```

Summary:
Its crystal system is hexagonal. For the formation energy, the calculation gives -0.65 eV per formula unit.

Copy entry 1 word for word.
A plane-wave DFT calculation with GGA-PBE was carried out for a relaxed structure of LiCaLa2Ni.

Cell and atoms, written as CIF:
```
data_LiCaLa2Ni
_symmetry_space_group_name_H-M 'P 4/m m m'
_symmetry_Int_Tables_number 123
_symmetry_space_group_name_Hall '-P 4 2'
_cell_length_a 5.438
_cell_length_b 5.438
_cell_length_c 5.330
_cell_angle_alpha 90.00
_cell_angle_beta 90.00
_cell_angle_gamma 90.00
loop_
_atom_site_label
_atom_site_fract_x
_atom_site_fract_y
_atom_site_fract_z
Li1 0.000 0.000 0.000
Ca1 0.500 0.500 0.000
La1 0.000 0.500 0.500
Ni1 0.000 0.000 0.500
```

Summary:
Its crystal system is tetragonal. For the formation energy, the calculation gives 0.04 eV per formula unit. Its relative energy among the computed polymorphs is 42 meV per atom.